Entry 1:
{"formula": "GdYInTc", "functional": "PBE", "state": "relaxed", "lattice": [[0.000, 3.608, 3.608], [3.608, 0.000, 3.608], [3.608, 3.608, 0.000]], "species": ["Gd", "Y", "In", "Tc"], "frac_coords": [[0.000, 0.000, 0.000], [0.500, 0.500, 0.500], [0.750, 0.750, 0.750], [0.250, 0.250, 0.250]], "density_g_cm3": 8.11, "total_energy_ev_per_atom": -8.544, "delta_e_f_ev_per_atom": -0.13, "n_ef_per_ev_cell": 3.6}

Entry 2:
{"formula": "GdZrInTc", "functional": "PBE", "state": "relaxed", "lattice": [[0.000, 3.516, 3.516], [3.516, 0.000, 3.516], [3.516, 3.516, 0.000]], "species": ["Gd", "Zr", "In", "Tc"], "frac_coords": [[0.000, 0.000, 0.000], [0.500, 0.500, 0.500], [0.250, 0.250, 0.250], [0.750, 0.750, 0.750]], "density_g_cm3": 8.81, "total_energy_ev_per_atom": -9.060, "delta_e_f_ev_per_atom": -0.13, "n_ef_per_ev_cell": 2.4}